Record 1
LaMg2Tc | PBEsol | optimized geometry Values from VASP.

Cell and atoms, written as Quantum ESPRESSO input:
```
&SYSTEM
  ibrav = 0, nat = 4, ntyp = 3
/
ATOMIC_SPECIES
Tc 98.00 Tc.upf
La 138.91 La.upf
Mg 24.30 Mg.upf
ATOMIC_POSITIONS crystal
Tc 0.500 0.500 0.500
La 0.000 0.000 0.000
Mg 0.764 0.764 0.708
Mg 0.236 0.236 0.292
CELL_PARAMETERS angstrom
3.001 0.000 0.000
1.500 2.599 0.000
1.500 0.866 10.648
```

Calculated values
- Calculated formation energy: 0.370 eV/atom
- Excess energy over the best structure of this formula in the dataset: 18.6 meV/atom
- Theoretical density: 5710 kg/m3

Record 2
LaMg2Tc | PBEsol | optimized geometry Values from VASP.

Cell and atoms, written as Quantum ESPRESSO input:
```
&SYSTEM
  ibrav = 0, nat = 4, ntyp = 3
/
ATOMIC_SPECIES
La 138.91 La.upf
Tc 98.00 Tc.upf
Mg 24.30 Mg.upf
ATOMIC_POSITIONS crystal
La 0.500 0.500 0.500
Tc 0.500 0.000 0.000
Mg 0.000 0.500 0.000
Mg 0.000 0.000 0.500
CELL_PARAMETERS angstrom
-0.345 -1.886 2.342
3.961 -3.364 -2.125
1.381 4.137 3.535
```

Calculated values
- Calculated formation energy: 0.407 eV/atom
- Excess energy over the best structure of this formula in the dataset: 55.5 meV/atom
- Theoretical density: 5763 kg/m3

Record 3
LaMg2Tc | PBEsol | optimized geometry Values from VASP.

Cell and atoms, written as Quantum ESPRESSO input:
```
&SYSTEM
  ibrav = 0, nat = 4, ntyp = 3
/
ATOMIC_SPECIES
La 138.91 La.upf
Tc 98.00 Tc.upf
Mg 24.30 Mg.upf
ATOMIC_POSITIONS crystal
La 0.233 0.233 0.301
Tc 0.498 0.498 0.506
Mg 0.763 0.763 0.711
Mg 0.006 0.006 0.982
CELL_PARAMETERS angstrom
3.272 0.000 0.000
1.636 2.833 0.000
1.636 0.944 9.804
```

Calculated values
- Calculated formation energy: 0.352 eV/atom
- Excess energy over the best structure of this formula in the dataset: 0.0 meV/atom
- Theoretical density: 5217 kg/m3

Record 4
La2MgTc | PBEsol | optimized geometry Values from VASP.

Cell and atoms, written as Quantum ESPRESSO input:
```
&SYSTEM
  ibrav = 0, nat = 4, ntyp = 3
/
ATOMIC_SPECIES
Tc 98.00 Tc.upf
Mg 24.30 Mg.upf
La 138.91 La.upf
ATOMIC_POSITIONS crystal
Tc 0.250 0.250 0.250
Mg 0.500 0.500 0.500
La 0.750 0.750 0.750
La 0.000 0.000 0.000
CELL_PARAMETERS angstrom
-0.778 0.136 -4.962
-3.549 -2.894 -2.067
-4.190 2.083 -1.829
```

Calculated values
- Calculated formation energy: 0.262 eV/atom
- Theoretical density: 7409 kg/m3

Record 5
LaMgTc2Te | PBEsol | optimized geometry Values from VASP.

Cell and atoms, written as Quantum ESPRESSO input:
```
&SYSTEM
  ibrav = 0, nat = 5, ntyp = 4
/
ATOMIC_SPECIES
Mg 24.30 Mg.upf
Tc 98.00 Tc.upf
Te 127.60 Te.upf
La 138.91 La.upf
ATOMIC_POSITIONS crystal
Mg 0.000 0.000 0.000
Tc 0.500 0.000 0.000
Tc 0.000 0.500 0.000
Te 0.000 0.000 0.500
La 0.500 0.500 0.500
CELL_PARAMETERS angstrom
4.727 0.000 0.000
0.000 4.727 0.000
0.000 0.000 5.170
```

Calculated values
- Theoretical density: 6999 kg/m3
- Formation energy (no corrections): 1.126 eV per atom

Record 6
LaMg2TcW | PBEsol | optimized geometry Values from VASP.

Cell and atoms, written as Quantum ESPRESSO input:
```
&SYSTEM
  ibrav = 0, nat = 5, ntyp = 4
/
ATOMIC_SPECIES
Mg 24.30 Mg.upf
Tc 98.00 Tc.upf
La 138.91 La.upf
W 183.84 W.upf
ATOMIC_POSITIONS crystal
Mg 0.000 0.500 0.000
Mg 0.000 0.000 0.500
Tc 0.500 0.000 0.000
La 0.000 0.000 0.000
W 0.500 0.500 0.500
CELL_PARAMETERS angstrom
4.536 0.000 0.000
0.000 5.271 0.000
0.000 0.000 5.271
```

Calculated values
- Calculated formation energy: 2.312 eV/atom
- Theoretical density: 6183 kg/m3

Record 7
LaMgTe | PBEsol | optimized geometry Values from VASP.

Cell and atoms, written as Quantum ESPRESSO input:
```
&SYSTEM
  ibrav = 0, nat = 3, ntyp = 3
/
ATOMIC_SPECIES
Te 127.60 Te.upf
Mg 24.30 Mg.upf
La 138.91 La.upf
ATOMIC_POSITIONS crystal
Te 0.750 0.750 0.750
Mg 0.500 0.500 0.500
La 0.000 0.000 0.000
CELL_PARAMETERS angstrom
-0.937 0.262 -5.102
-2.895 -3.648 -2.300
-4.765 1.161 -1.709
```

Calculated values
- Theoretical density: 4874 kg/m3
- Formation energy (no corrections): -0.432 eV per atom

Record 8
LaMgTe4 | PBEsol | optimized geometry Values from VASP.

Cell and atoms, written as Quantum ESPRESSO input:
```
&SYSTEM
  ibrav = 0, nat = 6, ntyp = 3
/
ATOMIC_SPECIES
Te 127.60 Te.upf
Mg 24.30 Mg.upf
La 138.91 La.upf
ATOMIC_POSITIONS crystal
Te 0.875 0.375 0.375
Te 0.375 0.375 0.375
Te 0.375 0.875 0.375
Te 0.375 0.375 0.875
Mg 0.000 0.000 0.000
La 0.750 0.750 0.750
CELL_PARAMETERS angstrom
6.320 0.000 0.000
3.160 5.473 0.000
3.160 1.824 5.160
```

Calculated values
- Theoretical density: 6266 kg/m3
- Formation energy (no corrections): -0.178 eV per atom

Record 9
La3MgTe | PBEsol | optimized geometry Values from VASP.

Cell and atoms, written as Quantum ESPRESSO input:
```
&SYSTEM
  ibrav = 0, nat = 5, ntyp = 3
/
ATOMIC_SPECIES
Mg 24.30 Mg.upf
La 138.91 La.upf
Te 127.60 Te.upf
ATOMIC_POSITIONS crystal
Mg 0.500 0.500 0.500
La 0.000 0.500 0.000
La 0.500 0.000 0.000
La 0.000 0.000 0.500
Te 0.000 0.000 0.000
CELL_PARAMETERS angstrom
5.925 0.000 0.000
0.000 5.925 0.000
0.000 0.000 5.925
```

Calculated values
- Theoretical density: 4538 kg/m3
- Formation energy (no corrections): -0.166 eV per atom

Record 10
La2MgTe | PBEsol | optimized geometry Values from VASP.

Cell and atoms, written as Quantum ESPRESSO input:
```
&SYSTEM
  ibrav = 0, nat = 4, ntyp = 3
/
ATOMIC_SPECIES
Mg 24.30 Mg.upf
La 138.91 La.upf
Te 127.60 Te.upf
ATOMIC_POSITIONS crystal
Mg 0.500 0.000 0.500
La 0.750 0.500 0.250
La 0.250 0.500 0.750
Te 0.000 0.000 0.000
CELL_PARAMETERS angstrom
-2.961 -3.895 1.226
5.496 -1.304 -1.244
-0.803 2.041 4.543
```

Calculated values
- Excess energy over the best structure of this formula in the dataset: 18.1 meV/atom
- Theoretical density: 6160 kg/m3
- Formation energy (no corrections): -0.617 eV per atom